[1]
A geometry-optimized YTeAuO structure, computed with PBE.

It has space group Pmc2_1 (No. 26), with a = 4.420 Å, b = 6.347 Å, c = 6.854 Å, α = 90.00°, β = 90.00° and γ = 90.00°. The distinct sites, in fractional coordinates, are Y at (0.000, 0.176, 0.000), Te at (0.500, 0.346, 0.274), Au at (0.500, 0.252, 0.665) and O at (0.000, 0.072, 0.704).

The total DFT energy (no corrections) is -5.777 eV per atom. Its crystal system is orthorhombic. Its density is 7418 kg/m³. For the volume, the calculation gives 24.0 A^3/atom.

---

[2]
A geometry-optimized Li4Si2AgAu structure, computed with PBE.

It has space group P-4m2 (No. 115), with a = 4.295 Å, b = 4.295 Å, c = 6.067 Å, α = 90.00°, β = 90.00° and γ = 90.00°. The distinct sites, in fractional coordinates, are Li at (0.000, 0.000, 0.000), Li at (0.000, 0.500, 0.749), Li at (0.500, 0.500, 0.500), Si at (0.000, 0.500, 0.254), Ag at (0.500, 0.500, 0.000) and Au at (0.000, 0.000, 0.500).

The total DFT energy (no corrections) is -3.426 eV per atom. Its crystal system is tetragonal. Its density is 5767 kg/m³. For the volume, the calculation gives 14.0 A^3/atom.

---

[3]
A geometry-optimized Sr6TlIr3 structure, computed with PBE.

It has space group I4/mmm (No. 139), with a = 9.291 Å, b = 9.291 Å, c = 10.863 Å, α = 90.00°, β = 90.00° and γ = 90.00°. The distinct sites, in fractional coordinates, are Sr at (0.000, 0.000, 0.230), Sr at (0.000, 0.334, 0.500), Tl at (0.000, 0.000, 0.500), Ir at (0.000, 0.000, 0.000) and Ir at (0.000, 0.500, 0.250).

The total DFT energy (no corrections) is -3.016 eV per atom. Its crystal system is tetragonal. Its density is 4628 kg/m³. For the volume, the calculation gives 46.9 A^3/atom.

---

[4]
A geometry-optimized SnGeIr2 structure, computed with PBE.

It has space group Pmc2_1 (No. 26), with a = 3.831 Å, b = 6.623 Å, c = 5.696 Å, α = 90.00°, β = 90.00° and γ = 90.00°. The distinct sites, in fractional coordinates, are Sn at (0.000, 0.162, 0.000), Ge at (0.500, 0.345, 0.589), Ir at (0.000, 0.478, 0.293) and Ir at (0.500, 0.057, 0.314).

The total DFT energy (no corrections) is -6.787 eV per atom. Its crystal system is orthorhombic. Its density is 13232 kg/m³. For the volume, the calculation gives 18.1 A^3/atom.